[1]
Crystalline Pm2SeO2 at its relaxed geometry. Source: Alexandria, functional PBE.

abc: 6.859 6.859 6.859
angles: 146.59 146.59 47.97
Sites, in units of the cell vectors:
Pm  0.155  0.155  0.000
Pm  0.845  0.845  0.000
Se  0.500  0.500  0.000
O  0.250  0.750  0.500
O  0.750  0.250  0.500

Properties
calculated volume = 97.5 Å³/f.u.
D(E_F) = 0.0 states/eV per cell
total magnetic moment = 0.0 μB/cell
space group = No. 139
uncorrected formation energy = -15.00 eV per formula unit
polymorph energy (0 for the lowest one) = 0.000 eV per atom

[2]
Crystalline Pm4Se3O2 at its relaxed geometry. Source: Alexandria, functional PBE.

abc: 6.872 6.872 9.013
angles: 120.64 120.64 33.77
Sites, in units of the cell vectors:
Pm  0.109  0.109  0.400
Pm  0.317  0.317  0.895
Pm  0.683  0.683  0.105
Pm  0.891  0.891  0.600
Se  0.000  0.000  0.000
Se  0.385  0.385  0.281
Se  0.615  0.615  0.719
O  0.312  0.312  0.630
O  0.688  0.688  0.370

Properties
calculated volume = 200.2 Å³/f.u.
D(E_F) = 2.5 states/eV per cell
total magnetic moment = 0.0 μB/cell
space group = No. 12
uncorrected formation energy = -21.79 eV per formula unit
polymorph energy (0 for the lowest one) = 0.000 eV per atom

[3]
Crystalline Pm6SeO8 at its relaxed geometry. Source: Alexandria, functional PBE.

abc: 7.520 7.520 7.520
angles: 53.36 53.36 53.36
Sites, in units of the cell vectors:
Pm  0.076  0.445  0.747
Pm  0.253  0.924  0.555
Pm  0.445  0.747  0.076
Pm  0.555  0.253  0.924
Pm  0.747  0.076  0.445
Pm  0.924  0.555  0.253
Se  0.000  0.000  0.000
O  0.130  0.794  0.441
O  0.206  0.559  0.870
O  0.319  0.319  0.319
O  0.441  0.130  0.794
O  0.559  0.870  0.206
O  0.681  0.681  0.681
O  0.794  0.441  0.130
O  0.870  0.206  0.559

Properties
calculated volume = 253.9 Å³/f.u.
D(E_F) = 0.0 states/eV per cell
total magnetic moment = 0.0 μB/cell
space group = No. 148
uncorrected formation energy = -47.83 eV per formula unit

[4]
Crystalline Pm2Se2O at its relaxed geometry. Source: Alexandria, functional PBE.

abc: 7.949 7.949 7.548
angles: 90.00 90.00 150.39
Sites, in units of the cell vectors:
Pm  0.052  0.948  0.500
Pm  0.342  0.658  0.619
Pm  0.658  0.342  0.119
Pm  0.948  0.052  0.000
Se  0.295  0.705  0.988
Se  0.451  0.549  0.304
Se  0.549  0.451  0.804
Se  0.705  0.295  0.488
O  0.091  0.909  0.173
O  0.909  0.091  0.673

Properties
calculated volume = 117.8 Å³/f.u.
D(E_F) = 0.0 states/eV per cell
total magnetic moment = 0.0 μB/cell
space group = No. 36
uncorrected formation energy = -12.06 eV per formula unit

[5]
Crystalline Pm3Se2O3 at its relaxed geometry. Source: Alexandria, functional PBE.

abc: 7.715 7.715 3.100
angles: 90.00 90.00 120.00
Sites, in units of the cell vectors:
Pm  0.000  0.744  0.000
Pm  0.256  0.256  0.000
Pm  0.744  0.000  0.000
Se  0.333  0.667  0.500
Se  0.667  0.333  0.500
O  0.000  0.199  0.500
O  0.199  0.000  0.500
O  0.801  0.801  0.500

Properties
calculated volume = 159.8 Å³/f.u.
D(E_F) = 2.0 states/eV per cell
total magnetic moment = 0.0 μB/cell
space group = No. 189
uncorrected formation energy = -17.74 eV per formula unit

[6]
Crystalline Pm3Se2O2 at its relaxed geometry. Source: Alexandria, functional PBE.

abc: 7.946 7.946 11.625
angles: 120.47 120.47 28.72
Sites, in units of the cell vectors:
Pm  0.094  0.094  0.168
Pm  0.133  0.133  0.781
Pm  0.402  0.402  0.543
Pm  0.598  0.598  0.457
Pm  0.867  0.867  0.219
Pm  0.906  0.906  0.832
Se  0.257  0.257  0.650
Se  0.394  0.394  0.031
Se  0.606  0.606  0.969
Se  0.743  0.743  0.350
O  0.044  0.044  0.324
O  0.421  0.421  0.355
O  0.579  0.579  0.645
O  0.956  0.956  0.676

Properties
calculated volume = 150.3 Å³/f.u.
D(E_F) = 4.4 states/eV per cell
total magnetic moment = 1.4 μB/cell
space group = No. 12
uncorrected formation energy = -18.21 eV per formula unit
polymorph energy (0 for the lowest one) = 0.000 eV per atom

[7]
Crystalline PmSeO5 at its relaxed geometry. Source: Alexandria, functional PBE.

abc: 5.872 5.872 8.671
angles: 109.79 109.79 82.71
Sites, in units of the cell vectors:
Pm  0.000  0.500  0.000
Pm  0.500  0.000  0.500
Se  0.149  0.851  0.750
Se  0.851  0.149  0.250
O  0.117  0.165  0.406
O  0.165  0.117  0.906
O  0.174  0.628  0.832
O  0.318  0.682  0.250
O  0.372  0.826  0.668
O  0.628  0.174  0.332
O  0.682  0.318  0.750
O  0.826  0.372  0.168
O  0.835  0.883  0.094
O  0.883  0.835  0.594

Properties
calculated volume = 132.3 Å³/f.u.
D(E_F) = 0.9 states/eV per cell
total magnetic moment = 2.0 μB/cell
space group = No. 15
uncorrected formation energy = -10.09 eV per formula unit

[8]
Crystalline PmSeO3 at its relaxed geometry. Source: Alexandria, functional PBE.

abc: 8.777 8.777 8.777
angles: 108.69 108.69 108.69
Sites, in units of the cell vectors:
Pm  0.186  0.727  0.362
Pm  0.273  0.638  0.814
Pm  0.362  0.186  0.727
Pm  0.638  0.814  0.273
Pm  0.727  0.362  0.186
Pm  0.814  0.273  0.638
Se  0.098  0.245  0.350
Se  0.245  0.350  0.098
Se  0.350  0.098  0.245
Se  0.650  0.902  0.755
Se  0.755  0.650  0.902
Se  0.902  0.755  0.650
O  0.035  0.412  0.328
O  0.107  0.388  0.819
O  0.181  0.893  0.612
O  0.255  0.355  0.576
O  0.328  0.035  0.412
O  0.355  0.576  0.255
O  0.388  0.819  0.107
O  0.412  0.328  0.035
O  0.424  0.745  0.645
O  0.576  0.255  0.355
O  0.588  0.672  0.965
O  0.612  0.181  0.893
O  0.645  0.424  0.745
O  0.672  0.965  0.588
O  0.745  0.645  0.424
O  0.819  0.107  0.388
O  0.893  0.612  0.181
O  0.965  0.588  0.672

Properties
calculated volume = 89.1 Å³/f.u.
D(E_F) = 10.5 states/eV per cell
total magnetic moment = 2.0 μB/cell
space group = No. 148
uncorrected formation energy = -9.19 eV per formula unit

[9]
Crystalline Pm4Se3O4 at its relaxed geometry. Source: Alexandria, functional PBE.

abc: 8.444 6.770 6.770
angles: 34.36 90.00 90.00
Sites, in units of the cell vectors:
Pm  0.000  0.000  0.000
Pm  0.239  0.679  0.679
Pm  0.500  0.013  0.013
Pm  0.761  0.679  0.679
Se  0.000  0.314  0.314
Se  0.348  0.351  0.351
Se  0.652  0.351  0.351
O  0.000  0.587  0.587
O  0.245  0.085  0.085
O  0.500  0.610  0.610
O  0.755  0.085  0.085

Properties
calculated volume = 218.5 Å³/f.u.
D(E_F) = 0.0 states/eV per cell
total magnetic moment = 0.0 μB/cell
space group = No. 38
uncorrected formation energy = -30.61 eV per formula unit

[10]
Crystalline PmSe2O5 at its relaxed geometry. Source: Alexandria, functional PBE.

abc: 7.239 11.005 7.220
angles: 90.00 90.00 90.00
Sites, in units of the cell vectors:
Pm  0.000  0.067  0.250
Pm  0.000  0.933  0.750
Pm  0.500  0.433  0.750
Pm  0.500  0.567  0.250
Se  0.118  0.360  0.031
Se  0.118  0.640  0.531
Se  0.382  0.140  0.531
Se  0.382  0.860  0.031
Se  0.618  0.140  0.969
Se  0.618  0.860  0.469
Se  0.882  0.360  0.469
Se  0.882  0.640  0.969
O  0.000  0.429  0.250
O  0.000  0.571  0.750
O  0.166  0.064  0.536
O  0.166  0.936  0.036
O  0.174  0.223  0.130
O  0.174  0.777  0.630
O  0.326  0.277  0.630
O  0.326  0.723  0.130
O  0.334  0.436  0.036
O  0.334  0.564  0.536
O  0.500  0.071  0.750
O  0.500  0.929  0.250
O  0.666  0.436  0.464
O  0.666  0.564  0.964
O  0.674  0.277  0.870
O  0.674  0.723  0.370
O  0.826  0.223  0.370
O  0.826  0.777  0.870
O  0.834  0.064  0.964
O  0.834  0.936  0.464

Properties
calculated volume = 143.8 Å³/f.u.
D(E_F) = 12.9 states/eV per cell
total magnetic moment = 0.8 μB/cell
space group = No. 60
uncorrected formation energy = -11.63 eV per formula unit

[11]
Crystalline PmSe3O12 at its relaxed geometry. Source: Alexandria, functional PBE.

abc: 9.756 9.756 6.331
angles: 90.00 90.00 120.00
Sites, in units of the cell vectors:
Pm  0.333  0.667  0.250
Pm  0.667  0.333  0.750
Se  0.094  0.701  0.750
Se  0.299  0.393  0.750
Se  0.393  0.094  0.250
Se  0.607  0.906  0.750
Se  0.701  0.607  0.250
Se  0.906  0.299  0.250
O  0.025  0.827  0.750
O  0.046  0.489  0.250
O  0.173  0.198  0.750
O  0.198  0.025  0.250
O  0.210  0.741  0.538
O  0.210  0.741  0.962
O  0.259  0.469  0.538
O  0.259  0.469  0.962
O  0.443  0.954  0.250
O  0.469  0.210  0.038
O  0.469  0.210  0.462
O  0.489  0.443  0.750
O  0.511  0.557  0.250
O  0.531  0.790  0.538
O  0.531  0.790  0.962
O  0.557  0.046  0.750
O  0.741  0.531  0.038
O  0.741  0.531  0.462
O  0.790  0.259  0.038
O  0.790  0.259  0.462
O  0.802  0.975  0.750
O  0.827  0.802  0.250
O  0.954  0.511  0.750
O  0.975  0.173  0.250

Properties
calculated volume = 260.9 Å³/f.u.
D(E_F) = 26.8 states/eV per cell
total magnetic moment = 6.1 μB/cell
space group = No. 176
uncorrected formation energy = -12.07 eV per formula unit

[12]
Crystalline Pm4Se6O19 at its relaxed geometry. Source: Alexandria, functional PBE.

abc: 6.904 8.525 9.474
angles: 105.43 102.42 94.94
Sites, in units of the cell vectors:
Pm  0.000  0.000  0.000
Pm  0.003  0.527  0.459
Pm  0.295  0.582  0.101
Pm  0.722  0.445  0.884
Se  0.173  0.222  0.750
Se  0.329  0.306  0.376
Se  0.373  0.782  0.857
Se  0.621  0.236  0.115
Se  0.672  0.704  0.619
Se  0.782  0.880  0.306
O  0.092  0.387  0.872
O  0.143  0.286  0.466
O  0.189  0.778  0.961
O  0.191  0.088  0.858
O  0.254  0.150  0.211
O  0.254  0.480  0.315
O  0.254  0.670  0.677
O  0.421  0.277  0.757
O  0.494  0.634  0.925
O  0.539  0.799  0.272
O  0.541  0.412  0.077
O  0.743  0.847  0.793
O  0.745  0.319  0.300
O  0.766  0.530  0.658
O  0.795  0.936  0.150
O  0.808  0.230  0.013
O  0.848  0.759  0.530
O  0.919  0.677  0.259
O  0.952  0.632  0.109

Properties
calculated volume = 518.8 Å³/f.u.
D(E_F) = 0.0 states/eV per cell
total magnetic moment = 0.1 μB/cell
space group = No. 1
uncorrected formation energy = -49.73 eV per formula unit

[13]
Crystalline Pm2SeO2 at its relaxed geometry. Source: Alexandria, functional PBE.

abc: 8.579 7.651 6.695
angles: 90.00 106.20 90.00
Sites, in units of the cell vectors:
Pm  0.023  0.130  0.283
Pm  0.023  0.370  0.783
Pm  0.404  0.616  0.157
Pm  0.404  0.884  0.657
Pm  0.596  0.116  0.343
Pm  0.596  0.384  0.843
Pm  0.977  0.630  0.217
Pm  0.977  0.870  0.717
Se  0.232  0.075  0.984
Se  0.232  0.425  0.484
Se  0.768  0.575  0.516
Se  0.768  0.925  0.016
O  0.115  0.630  0.966
O  0.115  0.870  0.466
O  0.475  0.649  0.867
O  0.475  0.851  0.367
O  0.525  0.149  0.633
O  0.525  0.351  0.133
O  0.885  0.130  0.534
O  0.885  0.370  0.034

Properties
calculated volume = 105.5 Å³/f.u.
D(E_F) = 0.0 states/eV per cell
total magnetic moment = 0.0 μB/cell
space group = No. 14
uncorrected formation energy = -14.01 eV per formula unit
polymorph energy (0 for the lowest one) = 0.198 eV per atom

[14]
Crystalline Pm4Se5O at its relaxed geometry. Source: Alexandria, functional PBE.

abc: 10.096 10.096 7.637
angles: 112.18 112.18 22.36
Sites, in units of the cell vectors:
Pm  0.000  0.000  0.219
Pm  0.000  0.000  0.781
Pm  0.281  0.281  0.781
Pm  0.719  0.719  0.219
Se  0.160  0.160  0.407
Se  0.160  0.160  0.913
Se  0.500  0.500  0.500
Se  0.840  0.840  0.087
Se  0.840  0.840  0.593
O  0.500  0.500  0.000

Properties
calculated volume = 273.4 Å³/f.u.
D(E_F) = 0.3 states/eV per cell
total magnetic moment = 0.0 μB/cell
space group = No. 12
uncorrected formation energy = -19.48 eV per formula unit

[15]
Crystalline Pm3Se2O2 at its relaxed geometry. Source: Alexandria, functional PBE.

abc: 3.692 6.189 7.211
angles: 98.31 90.01 107.23
Sites, in units of the cell vectors:
Pm  0.000  0.000  0.000
Pm  0.229  0.457  0.771
Pm  0.771  0.543  0.229
Se  0.117  0.231  0.374
Se  0.883  0.769  0.626
O  0.363  0.726  0.061
O  0.637  0.274  0.939

Properties
calculated volume = 155.6 Å³/f.u.
D(E_F) = 2.0 states/eV per cell
total magnetic moment = 0.0 μB/cell
space group = No. 2
uncorrected formation energy = -16.53 eV per formula unit
polymorph energy (0 for the lowest one) = 0.240 eV per atom

[16]
Crystalline Pm2SeO6 at its relaxed geometry. Source: Alexandria, functional PBE.

abc: 5.360 5.992 8.962
angles: 90.00 122.90 90.00
Sites, in units of the cell vectors:
Pm  0.221  0.084  0.252
Pm  0.221  0.416  0.752
Pm  0.779  0.584  0.248
Pm  0.779  0.916  0.748
Se  0.500  0.000  0.000
Se  0.500  0.500  0.500
O  0.173  0.154  0.957
O  0.173  0.346  0.457
O  0.291  0.734  0.941
O  0.291  0.766  0.441
O  0.380  0.041  0.770
O  0.380  0.459  0.270
O  0.620  0.541  0.730
O  0.620  0.959  0.230
O  0.709  0.234  0.559
O  0.709  0.266  0.059
O  0.827  0.654  0.543
O  0.827  0.846  0.043

Properties
calculated volume = 120.8 Å³/f.u.
D(E_F) = 0.0 states/eV per cell
total magnetic moment = 0.0 μB/cell
space group = No. 14
uncorrected formation energy = -20.42 eV per formula unit

[17]
Crystalline Pm2SeO7 at its relaxed geometry. Source: Alexandria, functional PBE.

abc: 6.400 6.588 7.868
angles: 99.39 97.99 113.93
Sites, in units of the cell vectors:
Pm  0.046  0.331  0.138
Pm  0.238  0.295  0.633
Pm  0.762  0.705  0.367
Pm  0.954  0.669  0.862
Se  0.422  0.022  0.241
Se  0.578  0.978  0.759
O  0.034  0.903  0.649
O  0.085  0.398  0.863
O  0.244  0.039  0.069
O  0.294  0.007  0.413
O  0.320  0.744  0.722
O  0.371  0.481  0.390
O  0.456  0.783  0.185
O  0.544  0.217  0.815
O  0.629  0.519  0.610
O  0.680  0.256  0.278
O  0.706  0.993  0.587
O  0.756  0.961  0.931
O  0.915  0.602  0.137
O  0.966  0.097  0.351

Properties
calculated volume = 145.6 Å³/f.u.
D(E_F) = 6.8 states/eV per cell
total magnetic moment = 4.0 μB/cell
space group = No. 2
uncorrected formation energy = -17.79 eV per formula unit